(1)
Compound: SiSbTe2Pt
Source: Alexandria via LeMat-Bulk
Functional: SCAN
Structure: single point on PBEsol structure

```
SiSbTe2Pt
1.0
5.039 0.000 0.000
0.000 5.039 0.000
0.000 0.000 5.003
Si Sb Te Pt
1 1 2 1
Direct
0.000 0.000 0.000
0.000 0.000 0.500
0.000 0.500 0.000
0.500 0.000 0.000
0.500 0.500 0.500
```

Values from the calculation:
Theoretical density, Mg/m³: 7.84
Total magnetization, μB per formula unit: 0.00
ΔE_f (raw), eV/atom: 1.0536

***

(2)
Compound: HoSbPd
Source: Alexandria via LeMat-Bulk
Functional: SCAN
Structure: single point on PBEsol structure

```
HoSbPd
1.0
0.000 3.304 3.304
3.304 0.000 3.304
3.304 3.304 0.000
Ho Sb Pd
1 1 1
Direct
0.000 0.000 0.000
0.750 0.750 0.750
0.500 0.500 0.500
```

Values from the calculation:
Theoretical density, Mg/m³: 9.05
Total magnetization, μB per formula unit: 0.00
ΔE_f (raw), eV/atom: -0.8060

***

(3)
Compound: RbReB2Pt
Source: Alexandria via LeMat-Bulk
Functional: SCAN
Structure: single point on PBEsol structure

```
RbReB2Pt
1.0
4.171 0.000 0.000
0.000 4.171 0.000
0.000 0.000 5.361
Rb Re B Pt
1 1 2 1
Direct
0.000 0.000 0.000
0.500 0.500 0.000
0.000 0.500 0.500
0.500 0.000 0.500
0.500 0.500 0.500
```

Values from the calculation:
Theoretical density, Mg/m³: 8.70
Total magnetization, μB per formula unit: 3.89
ΔH_f (0 K), eV/atom: 1.445

***

(4)
Compound: TlPbCl2
Source: Alexandria via LeMat-Bulk
Functional: SCAN
Structure: single point on PBEsol structure

```
TlPbCl2
1.0
2.156 -2.960 0.000
2.156 2.960 0.000
0.000 0.000 8.822
Tl Pb Cl
1 1 2
Direct
0.000 0.000 0.000
0.500 0.500 0.700
0.000 0.000 0.504
0.500 0.500 0.188
```

Values from the calculation:
Theoretical density, Mg/m³: 7.11
Total magnetization, μB per formula unit: 0.00
ΔE_f (raw), eV/atom: -0.6214

***

(5)
Compound: ReNi2W
Source: Alexandria via LeMat-Bulk
Functional: SCAN
Structure: single point on PBEsol structure

```
ReNi2W
1.0
-1.836 1.836 3.776
1.836 -1.836 3.776
1.836 1.836 -3.776
Re Ni W
1 2 1
Direct
0.000 0.000 0.000
0.250 0.750 0.500
0.750 0.250 0.500
0.500 0.500 0.000
```

Values from the calculation:
Theoretical density, Mg/m³: 15.90
Total magnetization, μB per formula unit: 0.00
ΔH_f (0 K), eV/atom: 0.068

***

(6)
Compound: Mn3GeF
Source: Alexandria via LeMat-Bulk
Functional: SCAN
Structure: single point on PBEsol structure

```
Mn3GeF
1.0
4.765 0.000 0.000
0.000 4.765 0.000
0.000 0.000 4.765
Mn Ge F
3 1 1
Direct
0.000 0.000 0.500
0.000 0.500 0.000
0.500 0.000 0.000
0.000 0.000 0.000
0.500 0.500 0.500
```

Values from the calculation:
Theoretical density, Mg/m³: 3.94
Total magnetization, μB per formula unit: 14.01
ΔE_f (raw), eV/atom: -0.0283

***

(7)
Compound: Li2DyTl
Source: Alexandria via LeMat-Bulk
Functional: SCAN
Structure: single point on PBEsol structure

```
Li2DyTl
1.0
0.000 3.371 3.371
3.371 0.000 3.371
3.371 3.371 0.000
Li Dy Tl
2 1 1
Direct
0.250 0.250 0.250
0.750 0.750 0.750
0.000 0.000 0.000
0.500 0.500 0.500
```

Values from the calculation:
Theoretical density, Mg/m³: 8.25
Total magnetization, μB per formula unit: 0.00
ΔH_f (0 K), eV/atom: -0.375

***

(8)
Compound: Nb2ReSiSb
Source: Alexandria via LeMat-Bulk
Functional: SCAN
Structure: single point on PBEsol structure

```
Nb2ReSiSb
1.0
4.951 0.000 0.000
0.000 4.951 0.000
0.000 0.000 4.766
Nb Re Si Sb
2 1 1 1
Direct
0.000 0.500 0.000
0.500 0.000 0.000
0.000 0.000 0.500
0.500 0.500 0.500
0.000 0.000 0.000
```

Values from the calculation:
Theoretical density, Mg/m³: 7.42
Total magnetization, μB per formula unit: 0.01
ΔE_f (raw), eV/atom: 2.0752

***

Repeat the first record exactly.
Compound: SiSbTe2Pt
Source: Alexandria via LeMat-Bulk
Functional: SCAN
Structure: single point on PBEsol structure

```
SiSbTe2Pt
1.0
5.039 0.000 0.000
0.000 5.039 0.000
0.000 0.000 5.003
Si Sb Te Pt
1 1 2 1
Direct
0.000 0.000 0.000
0.000 0.000 0.500
0.000 0.500 0.000
0.500 0.000 0.000
0.500 0.500 0.500
```

Values from the calculation:
Theoretical density, Mg/m³: 7.84
Total magnetization, μB per formula unit: 0.00
ΔE_f (raw), eV/atom: 1.0536

***

What did the second record say?
Compound: HoSbPd
Source: Alexandria via LeMat-Bulk
Functional: SCAN
Structure: single point on PBEsol structure

```
HoSbPd
1.0
0.000 3.304 3.304
3.304 0.000 3.304
3.304 3.304 0.000
Ho Sb Pd
1 1 1
Direct
0.000 0.000 0.000
0.750 0.750 0.750
0.500 0.500 0.500
```

Values from the calculation:
Theoretical density, Mg/m³: 9.05
Total magnetization, μB per formula unit: 0.00
ΔE_f (raw), eV/atom: -0.8060

***

> total magnetization of number 2 (HoSbPd)?

0.00 μB per formula unit

***

> Among the records above, which one has the highest total magnetization?

Mn3GeF